(1)
The following is a DFT calculation (GGA-PBE) of an optimized crystal structure of Rb4BrCl3.

POSCAR file:
```
Rb4BrCl3
1.0
4.770 0.000 0.000
0.000 8.314 -0.060
0.000 -2.678 7.871
Rb Br Cl
4 1 3
Direct
0.000 0.740 0.740
0.500 0.745 0.255
0.000 0.260 0.260
0.500 0.255 0.745
0.500 0.000 0.000
0.000 0.500 0.000
0.000 0.000 0.500
0.500 0.500 0.500
```

Summary:
Density of states at the Fermi level: 0.000 states/eV/atom
Formation energy without anion corrections: -1892 meV/atom
Symmetry: Cmmm
Crystal system: orthorhombic
Calculated volume: 38.9 Å³/atom

***

(2)
The following is a DFT calculation (GGA-PBE) of an optimized crystal structure of RbBr2Cl.

POSCAR file:
```
RbBr2Cl
1.0
-0.617 -0.596 6.143
4.436 -1.414 4.098
2.373 3.689 4.386
Rb Br Cl
1 2 1
Direct
0.000 0.000 0.000
0.784 0.784 0.784
0.216 0.216 0.216
0.500 0.500 0.500
```

Summary:
Density of states at the Fermi level: 0.622 states/eV/atom
Formation energy without anion corrections: -526 meV/atom
Symmetry: R-3m
Energy above the most stable polymorph in this dataset: 0.4460 eV/atom
Crystal system: trigonal
Calculated volume: 35.0 Å³/atom